[1]
VASP calculation (PBEsol) on a relaxed Ca2MoCl crystal.

Summary:
Fermi-level density of states: 2.94 states/eV/f.u.
E: -4.287 eV per atom
Total magnetic moment: 0.000 μB/atom

Cell: 3.117 3.117 10.455 Å, 90.00 90.00 90.00°
Sites, in units of the cell vectors:
Cl 0.000 0.000 0.450
Ca 0.000 0.000 0.979
Mo 0.500 0.500 0.769
Ca 0.500 0.500 0.302

=====

[2]
VASP calculation (PBEsol) on a relaxed CaMo3Cl crystal.

Summary:
Fermi-level density of states: 6.84 states/eV/f.u.
E: -4.839 eV per atom
Total magnetic moment: 0.000 μB/atom

Cell: 4.666 4.666 4.666 Å, 90.00 90.00 90.00°
Sites, in units of the cell vectors:
Mo 0.000 0.000 0.500
Cl 0.500 0.500 0.500
Mo 0.500 0.000 0.000
Ca 0.000 0.000 0.000
Mo 0.000 0.500 0.000

=====

[3]
VASP calculation (PBEsol) on a relaxed CaMoCl crystal.

Summary:
Fermi-level density of states: 0.99 states/eV/f.u.
E: -5.187 eV per atom
Total magnetic moment: 0.000 μB/atom

Cell: 3.515 3.515 5.506 Å, 90.00 90.00 120.00°
Sites, in units of the cell vectors:
Ca 0.000 0.000 0.962
Cl 0.333 0.667 0.627
Mo 0.667 0.333 0.411

=====

[4]
VASP calculation (PBEsol) on a relaxed CaN2Cl crystal.

Summary:
Fermi-level density of states: 1.60 states/eV/f.u.
E: -4.223 eV per atom
Total magnetic moment: 1.250 μB/atom

Cell: 4.428 4.428 4.428 Å, 60.00 60.00 60.00°
Each line ends with the local moment (μB).
Sites, in units of the cell vectors:
Cl 0.000 0.000 0.000  0.57
Ca 0.500 0.500 0.500  0.06
N 0.750 0.750 0.750  1.45
N 0.250 0.250 0.250  1.45